Record 1
Computed, not measured: a relaxed SiSbPb2 crystal at the PBEsol level of DFT.

Results
* symmetry: Fm-3m (225)
* calculated volume: 102.36 Å³/f.u.
* E above lowest polymorph: 0.64 eV per formula unit
* raw formation energy: 0.341 eV per atom

Structure (extended XYZ):
```
4
Lattice="-5.2242 0.5267 0.0264 -2.9479 -2.9043 -3.2319 -3.0159 -3.8382 1.9347" Properties=species:S:1:pos:R:3 pbc="T T T"
Pb -8.3909 -4.6619 -0.9531
Pb -2.7970 -1.5540 -0.3177
Sb 0.0000 0.0000 0.0000
Si -5.5940 -3.1079 -0.6354
```

---

Record 2
Computed, not measured: a relaxed SiSb2Pb crystal at the PBEsol level of DFT.

Results
* symmetry: F-43m (216)
* calculated volume: 97.62 Å³/f.u.
* E above lowest polymorph: 0.00 eV per formula unit
* raw formation energy: 0.369 eV per atom

Structure (extended XYZ):
```
4
Lattice="-4.5113 -2.3621 -0.8827 -2.9368 -1.5282 3.9688 -4.4389 2.4423 1.0209" Properties=species:S:1:pos:R:3 pbc="T T T"
Pb -5.9435 -0.7240 2.0535
Sb 0.0000 0.0000 0.0000
Sb -8.9153 -1.0860 3.0802
Si -2.9718 -0.3620 1.0267
```

---

Record 3
Computed, not measured: a relaxed SiSbPb2 crystal at the PBEsol level of DFT.

Results
* symmetry: R3m (160)
* calculated volume: 108.30 Å³/f.u.
* E above lowest polymorph: 0.00 eV per formula unit
* raw formation energy: 0.180 eV per atom

Structure (extended XYZ):
```
4
Lattice="3.9096 0.0000 0.0000 1.9548 3.3858 0.0000 1.9548 1.1286 8.1819" Properties=species:S:1:pos:R:3 pbc="T T T"
Pb 5.8644 3.3858 0.3135
Pb 5.8644 3.3858 6.0529
Sb 3.9096 2.2572 3.6538
Si 1.9548 1.1286 2.2527
```

---

no.,final energy (eV per formula unit)
1,-16.94
2,-17.38
3,-17.58